[1]
This record from Alexandria describes a geometry-optimized Ba2TmMgTe5 structure. The functional is PBE.

a = 4.628 Å, b = 10.342 Å, c = 14.073 Å
α = 90.00°, β = 90.00°, γ = 102.93°
Fractional positions:
Tm  0.208  0.415  0.016
Te  0.496  0.992  0.771
Te  0.306  0.612  0.369
Ba  0.872  0.743  0.815
Ba  0.887  0.774  0.188
Ba  0.113  0.226  0.688
Tm  0.792  0.585  0.516
Mg  0.560  0.120  0.944
Mg  0.440  0.880  0.444
Te  0.504  0.008  0.271
Te  0.644  0.287  0.506
Te  0.694  0.388  0.869
Te  0.356  0.713  0.006
Te  0.944  0.888  0.555
Te  0.056  0.112  0.055
Te  0.710  0.419  0.160
Ba  0.128  0.257  0.315
Te  0.290  0.581  0.660

Summary:
- Space-group type: Cmc2_1, No. 36
- DOS(E_F): 13.02 states/eV/cell
- Formation energy without anion corrections: -1.314 eV per atom

---

[2]
This record from Alexandria describes a geometry-optimized Na2InTe structure. The functional is PBE.

a = 5.481 Å, b = 5.481 Å, c = 5.481 Å
α = 60.00°, β = 60.00°, γ = 60.00°
Fractional positions:
Na  0.750  0.750  0.750
Na  0.250  0.250  0.250
In  0.000  0.000  0.000
Te  0.500  0.500  0.500

Summary:
- Space-group type: Fm-3m, No. 225
- DOS(E_F): 1.80 states/eV/cell
- Formation energy without anion corrections: -0.396 eV per atom

---

[3]
This record from Alexandria describes a geometry-optimized Rb2MoBr8 structure. The functional is PBE.

a = 6.754 Å, b = 8.341 Å, c = 8.341 Å
α = 80.61°, β = 85.48°, γ = 85.48°
Site moments in Bohr magnetons follow the coordinates.
Fractional positions:
Br  0.890  0.039  0.717  0.01
Br  0.338  0.902  0.902  0.01
Br  0.110  0.283  0.961  0.01
Rb  0.783  0.368  0.368  0.00
Br  0.282  0.364  0.364  0.11
Br  0.718  0.636  0.636  0.11
Mo  0.000  0.000  0.000  -0.23
Br  0.662  0.098  0.098  0.01
Rb  0.217  0.632  0.632  0.00
Br  0.110  0.961  0.283  0.01
Br  0.890  0.717  0.039  0.01

Summary:
- Space-group type: C2/m, No. 12
- DOS(E_F): 11.78 states/eV/cell
- Formation energy without anion corrections: -0.812 eV per atom

---

[4]
This record from Alexandria describes a geometry-optimized ErCd12Ag6 structure. The functional is PBE.

a = 7.929 Å, b = 7.929 Å, c = 7.929 Å
α = 105.70°, β = 105.70°, γ = 105.70°
Fractional positions:
Cd  0.881  0.634  0.634
Cd  0.634  0.881  0.634
Er  0.000  0.000  0.000
Cd  0.634  0.634  0.881
Ag  0.702  0.301  0.301
Cd  0.119  0.366  0.366
Cd  0.366  0.366  0.119
Cd  0.366  0.119  0.366
Cd  0.114  0.500  0.886
Ag  0.301  0.301  0.702
Cd  0.886  0.114  0.500
Cd  0.500  0.886  0.114
Cd  0.500  0.114  0.886
Ag  0.301  0.702  0.301
Ag  0.699  0.298  0.699
Ag  0.298  0.699  0.699
Ag  0.699  0.699  0.298
Cd  0.114  0.886  0.500
Cd  0.886  0.500  0.114

Summary:
- Energy of formation: 0.31 eV per formula unit
- Space-group type: R-3m, No. 166
- DOS(E_F): 4.46 states/eV/cell

---

[5]
This record from Alexandria describes a geometry-optimized Pr2DyHoEr5 structure. The functional is PBE.

a = 8.583 Å, b = 8.583 Å, c = 9.925 Å
α = 115.62°, β = 115.62°, γ = 90.00°
Fractional positions:
Er  0.572  0.645  0.717
Er  0.355  0.855  0.283
Ho  0.750  0.250  0.500
Ho  0.250  0.750  0.500
Er  0.428  0.355  0.283
Dy  0.250  0.250  0.500
Pr  0.382  0.882  0.000
Er  0.645  0.145  0.717
Pr  0.618  0.118  0.000
Er  0.000  0.000  0.000
Er  0.855  0.928  0.283
Er  0.072  0.572  0.717
Dy  0.750  0.750  0.500
Pr  0.118  0.382  0.000
Er  0.145  0.072  0.717
Pr  0.882  0.618  0.000
Er  0.928  0.428  0.283
Er  0.500  0.500  0.000

Summary:
- Energy of formation: 2.45 eV per formula unit
- Space-group type: I4/mcm, No. 140
- DOS(E_F): 22.52 states/eV/cell

---

[6]
This record from Alexandria describes a geometry-optimized LaAsAu structure. The functional is PBE.

a = 5.002 Å, b = 5.002 Å, c = 5.002 Å
α = 60.00°, β = 60.00°, γ = 60.00°
Fractional positions:
La  0.750  0.750  0.750
Au  0.500  0.500  0.500
As  0.000  0.000  0.000

Summary:
- Energy of formation: -1.88 eV per formula unit
- Space-group type: F-43m, No. 216
- DOS(E_F): 2.04 states/eV/cell

---

Table of E (eV per atom), in record order: -4.161, -2.525, -3.189, -1.702, -4.344, -4.911